Here is a relaxed structure of HoHfSc from the Alexandria database. Energies are from PBE. Values from VASP.

D(E_F): 9.83 states/eV per cell
polymorph energy (0 for the lowest one): 0.000 eV/atom
energy of formation: 0.1 eV per formula unit
space group: Pmmn (59)

```
&SYSTEM
  ibrav = 0, nat = 6, ntyp = 3
/
ATOMIC_SPECIES
Ho 164.93 Ho.upf
Hf 178.49 Hf.upf
Sc 44.96 Sc.upf
ATOMIC_POSITIONS angstrom
Ho 0.819 1.280 1.030
Ho 2.458 3.839 8.150
Hf 0.819 3.839 5.072
Hf 2.458 1.280 4.108
Sc 0.819 1.280 6.771
Sc 2.458 3.839 2.409
CELL_PARAMETERS angstrom
3.278 0.000 0.000
0.000 5.119 0.000
0.000 0.000 9.180
```

=====

Here is a relaxed structure of HoHfSc2 from the Alexandria database. Energies are from PBE. Values from VASP.

D(E_F): 6.84 states/eV per cell
polymorph energy (0 for the lowest one): 0.000 eV/atom
energy of formation: 0.3 eV per formula unit
space group: R3m (160)

```
&SYSTEM
  ibrav = 0, nat = 4, ntyp = 3
/
ATOMIC_SPECIES
Ho 164.93 Ho.upf
Hf 178.49 Hf.upf
Sc 44.96 Sc.upf
ATOMIC_POSITIONS angstrom
Ho 0.000 0.000 0.000
Hf 0.000 0.000 26.636
Sc 0.000 0.000 7.845
Sc 0.000 0.000 13.486
CELL_PARAMETERS angstrom
1.653 0.954 10.638
-1.653 0.954 10.638
0.000 -1.909 10.638
```